VASP calculation (PBEsol) on crystalline In2ReTe at its relaxed geometry.

The uncorrected energy is -5.39 eV per atom. For the formation energy without anion corrections, the calculation gives 7.369 kcal/mol of atoms.

Cell lengths 9.9114, 3.1564, 6.6006 Å; angles 90.00, 110.57, 90.00 degrees
Space group Cm (No. 8)
One atom of each set of equivalent atoms:
In: 0.0000 0.0000 0.0000
In: 0.1859 0.0000 0.6716
Re: 0.2366 0.5000 0.0368
Te: 0.3486 0.0000 0.3717

***

VASP calculation (PBEsol) on crystalline Ba2LaPt at its relaxed geometry.

The energy of formation from the pure elements is -409 meV per atom. The calculation puts the energy above the most stable polymorph in this dataset at 0.17 eV per formula unit. The uncorrected energy is -4.56 eV per atom.

Cell lengths 3.8182, 3.8182, 10.3438 Å; angles 90.00, 90.00, 90.00 degrees
Space group P4mm (No. 99)
One atom of each set of equivalent atoms:
Ba: 0.0000 0.0000 0.0000
Ba: 0.5000 0.5000 0.3535
La: 0.0000 0.0000 0.6670
Pt: 0.5000 0.5000 0.7919

***

VASP calculation (PBEsol) on crystalline NbCdIr3 at its relaxed geometry.

The energy of formation from the pure elements is 1501 meV per atom. The calculation puts the energy above the most stable polymorph in this dataset at 0.00 eV per formula unit. The uncorrected energy is -6.80 eV per atom.

Cell lengths 4.7289, 4.7289, 4.7289 Å; angles 90.00, 90.00, 90.00 degrees
Space group Pm-3m (No. 221)
One atom of each set of equivalent atoms:
Nb: 0.0000 0.0000 0.0000
Cd: 0.5000 0.5000 0.5000
Ir: 0.0000 0.0000 0.5000

***

VASP calculation (PBEsol) on crystalline In2TePb at its relaxed geometry.

The calculation puts the energy above the most stable polymorph in this dataset at 0.05 eV per formula unit. The uncorrected energy is -3.44 eV per atom. For the formation energy without anion corrections, the calculation gives -1.543 kcal/mol of atoms.

Cell lengths 3.9578, 3.9578, 7.0509 Å; angles 90.00, 90.00, 90.00 degrees
Space group P4/mmm (No. 123)
One atom of each set of equivalent atoms:
In: 0.0000 0.0000 0.2392
Te: 0.5000 0.5000 0.0000
Pb: 0.5000 0.5000 0.5000

***

VASP calculation (PBEsol) on crystalline LiTa2Te at its relaxed geometry.

The uncorrected energy is -7.30 eV per atom. For the formation energy without anion corrections, the calculation gives 8.096 kcal/mol of atoms.

Cell lengths 5.5380, 10.0578, 3.1365 Å; angles 90.00, 121.84, 90.00 degrees
Space group C2/m (No. 12)
One atom of each set of equivalent atoms:
Li: 0.0000 0.0000 0.0000
Ta: 0.2500 0.2500 0.0000
Te: 0.0000 0.5000 0.0000

***

VASP calculation (PBEsol) on crystalline ScSbTeI2 at its relaxed geometry.

The calculation puts the energy above the most stable polymorph in this dataset at 0.00 eV per formula unit. The uncorrected energy is -3.81 eV per atom. For the formation energy without anion corrections, the calculation gives -3.799 kcal/mol of atoms.

Cell lengths 5.3550, 5.3550, 5.9533 Å; angles 90.00, 90.00, 90.00 degrees
Space group P4/mmm (No. 123)
One atom of each set of equivalent atoms:
Sc: 0.0000 0.0000 0.0000
Sb: 0.0000 0.0000 0.5000
Te: 0.5000 0.5000 0.5000
I: 0.0000 0.5000 0.0000

***

VASP calculation (PBEsol) on crystalline RbGeNF2 at its relaxed geometry.

The uncorrected energy is -3.27 eV per atom. For the formation energy without anion corrections, the calculation gives 9.224 kcal/mol of atoms.

Cell lengths 4.7523, 4.7523, 4.6041 Å; angles 90.00, 90.00, 90.00 degrees
Space group P4/mmm (No. 123)
One atom of each set of equivalent atoms:
Rb: 0.0000 0.0000 0.0000
Ge: 0.5000 0.5000 0.5000
N: 0.0000 0.0000 0.5000
F: 0.0000 0.5000 0.0000

***

VASP calculation (PBEsol) on crystalline ZrTcHg2 at its relaxed geometry.

The energy of formation from the pure elements is 202 meV per atom. The calculation puts the energy above the most stable polymorph in this dataset at 0.44 eV per formula unit. The uncorrected energy is -5.17 eV per atom.

Cell lengths 6.6491, 6.6491, 6.6491 Å; angles 90.00, 90.00, 90.00 degrees
Space group Fm-3m (No. 225)
One atom of each set of equivalent atoms:
Zr: 0.0000 0.0000 0.0000
Tc: 0.0000 0.0000 0.5000
Hg: 0.2500 0.2500 0.2500

***

VASP calculation (PBEsol) on crystalline Cr2CdRu at its relaxed geometry.

The energy of formation from the pure elements is 627 meV per atom. The uncorrected energy is -7.34 eV per atom.

Cell lengths 4.3855, 4.3855, 2.9645 Å; angles 90.00, 90.00, 90.00 degrees
Space group P4/mmm (No. 123)
One atom of each set of equivalent atoms:
Cr: 0.0000 0.5000 0.0000
Cd: 0.0000 0.0000 0.5000
Ru: 0.5000 0.5000 0.5000

***

VASP calculation (PBEsol) on crystalline ScBeCd2 at its relaxed geometry.

The energy of formation from the pure elements is 52 meV per atom. The calculation puts the energy above the most stable polymorph in this dataset at 0.23 eV per formula unit. The uncorrected energy is -3.20 eV per atom.

Cell lengths 3.1354, 4.7336, 9.5541 Å; angles 90.00, 90.00, 90.00 degrees
Space group Immm (No. 71)
One atom of each set of equivalent atoms:
Sc: 0.0000 0.0000 0.0000
Be: 0.0000 0.0000 0.5000
Cd: 0.0000 0.5000 0.2124

***

VASP calculation (PBEsol) on crystalline Hf2Be2In at its relaxed geometry.

The energy of formation from the pure elements is -265 meV per atom. The uncorrected energy is -6.66 eV per atom.

Cell lengths 6.3493, 6.3493, 3.9028 Å; angles 90.00, 90.00, 90.00 degrees
Space group P4/mbm (No. 127)
One atom of each set of equivalent atoms:
Hf: 0.1663 0.3337 0.0000
Be: 0.1193 0.6193 0.5000
In: 0.0000 0.0000 0.5000

***

VASP calculation (PBEsol) on crystalline CaMoRu at its relaxed geometry.

The energy of formation from the pure elements is 965 meV per atom. The uncorrected energy is -7.06 eV per atom.

Cell lengths 6.1208, 6.1208, 6.1208 Å; angles 90.00, 90.00, 90.00 degrees
Space group F-43m (No. 216)
One atom of each set of equivalent atoms:
Ca: 0.0000 0.0000 0.0000
Mo: 0.2500 0.2500 0.2500
Ru: 0.0000 0.0000 0.5000

***

VASP calculation (PBEsol) on crystalline SrZnMo2 at its relaxed geometry.

The energy of formation from the pure elements is 610 meV per atom. The uncorrected energy is -6.13 eV per atom.

Cell lengths 3.2199, 3.2199, 26.8512 Å; angles 90.00, 90.00, 120.00 degrees
Space group R3m (No. 160, hexagonal axes)
One atom of each set of equivalent atoms:
Sr: 0.0000 0.0000 0.0000
Zn: 0.0000 0.0000 0.7627
Mo: 0.0000 0.0000 0.2314
Mo: 0.0000 0.0000 0.5031

***

VASP calculation (PBEsol) on crystalline AlZnCl2 at its relaxed geometry.

The calculation puts the energy above the most stable polymorph in this dataset at 0.61 eV per formula unit. The uncorrected energy is -2.86 eV per atom. For the formation energy without anion corrections, the calculation gives -9.980 kcal/mol of atoms.

Cell lengths 9.5708, 9.5708, 5.0023 Å; angles 90.00, 90.00, 90.00 degrees
Space group I4_1/amd (No. 141, origin choice 2)
One atom of each set of equivalent atoms:
Al: 0.0000 0.2500 0.3750
Zn: 0.0000 0.2500 0.8750
Cl: 0.0000 0.0000 0.5000

***

VASP calculation (PBEsol) on crystalline PPb2O at its relaxed geometry.

The uncorrected energy is -4.76 eV per atom. For the formation energy without anion corrections, the calculation gives 0.089 kcal/mol of atoms.

Cell lengths 6.7149, 6.7149, 6.7149 Å; angles 90.00, 90.00, 90.00 degrees
Space group Fm-3m (No. 225)
One atom of each set of equivalent atoms:
P: 0.0000 0.0000 0.0000
Pb: 0.2500 0.2500 0.2500
O: 0.0000 0.0000 0.5000

***

VASP calculation (PBEsol) on crystalline ReSi2Ni at its relaxed geometry.

The uncorrected energy is -7.53 eV per atom. For the formation energy without anion corrections, the calculation gives 5.088 kcal/mol of atoms.

Cell lengths 5.8727, 5.8727, 5.8727 Å; angles 90.00, 90.00, 90.00 degrees
Space group F-43m (No. 216)
One atom of each set of equivalent atoms:
Re: 0.0000 0.0000 0.0000
Si: 0.0000 0.0000 0.5000
Si: 0.2500 0.2500 0.7500
Ni: 0.2500 0.2500 0.2500

***

VASP calculation (PBEsol) on crystalline Zr2Mn2Nb at its relaxed geometry.

The energy of formation from the pure elements is 339 meV per atom. The uncorrected energy is -9.37 eV per atom.

Cell lengths 3.0768, 3.0768, 18.1975 Å; angles 90.00, 90.00, 90.00 degrees
Space group I4/mmm (No. 139)
One atom of each set of equivalent atoms:
Zr: 0.0000 0.0000 0.1186
Mn: 0.0000 0.5000 0.2500
Nb: 0.0000 0.0000 0.5000

***

VASP calculation (PBEsol) on crystalline Hg3Te2IBr at its relaxed geometry.

The uncorrected energy is -2.02 eV per atom. For the formation energy without anion corrections, the calculation gives -5.867 kcal/mol of atoms.

Cell lengths 18.0820, 9.3675, 10.7272 Å; angles 90.00, 90.10, 90.00 degrees
Space group C2 (No. 5)
One atom of each set of equivalent atoms:
Hg: 0.0000 0.0000 0.0000
Hg: 0.0000 0.4924 0.0000
Hg: 0.0184 0.2564 0.7016
Hg: 0.1244 0.9549 0.2965
Hg: 0.1250 0.5628 0.2776
Hg: 0.2287 0.7559 0.7019
Hg: 0.2466 0.9910 0.0028
Te: 0.0233 0.5402 0.7535
Te: 0.0229 0.9719 0.7517
Te: 0.2272 0.0379 0.7551
Te: 0.2279 0.4723 0.7484
I: 0.1216 0.2543 0.0373
I: 0.1241 0.2499 0.4706
Br: 0.1224 0.7502 0.4957
Br: 0.1304 0.7569 0.0277

***

VASP calculation (PBEsol) on crystalline CaWClO2 at its relaxed geometry.

The uncorrected energy is -4.33 eV per atom. For the formation energy without anion corrections, the calculation gives 31.257 kcal/mol of atoms.

Cell lengths 4.3246, 4.3246, 4.7570 Å; angles 90.00, 90.00, 90.00 degrees
Space group P4/mmm (No. 123)
One atom of each set of equivalent atoms:
Ca: 0.0000 0.0000 0.0000
W: 0.5000 0.5000 0.0000
Cl: 0.0000 0.0000 0.5000
O: 0.0000 0.5000 0.5000

***

VASP calculation (PBEsol) on crystalline CaPt2 at its relaxed geometry.

The energy of formation from the pure elements is -416 meV per atom. The uncorrected energy is -5.77 eV per atom.

Cell lengths 3.5371, 3.5371, 9.6409 Å; angles 90.00, 90.00, 90.00 degrees
Space group I4/mmm (No. 139)
One atom of each set of equivalent atoms:
Ca: 0.0000 0.0000 0.0000
Pt: 0.0000 0.0000 0.2893